The following is a PBE calculation of crystalline La6ErS8 at its relaxed geometry, from Alexandria.

## Properties
The value obtained for the uncorrected formation energy is -2.1575 eV/atom. The space-group type is No. 225.

a b c (Å): 8.264 8.264 8.264
angles (deg): 60.00 60.00 60.00
Atoms (fractional coordinates):
S 0.236 0.764 0.764
S 0.250 0.250 0.250
La 0.500 0.000 0.000
S 0.764 0.764 0.236
S 0.236 0.764 0.236
La 0.500 0.500 0.000
Er 0.000 0.000 0.000
S 0.750 0.750 0.750
La 0.000 0.500 0.500
La 0.500 0.000 0.500
La 0.000 0.500 0.000
S 0.764 0.236 0.236
La 0.000 0.000 0.500
S 0.236 0.236 0.764
S 0.764 0.236 0.764

***

The following is a PBE calculation of crystalline AcAl2Cd at its relaxed geometry, from Alexandria.

## Properties
The space-group type is No. 123. The formation energy from the elements is -95 meV per atom.

a b c (Å): 4.649 4.743 4.743
angles (deg): 90.00 90.00 90.00
Atoms (fractional coordinates):
Al 0.000 0.000 0.500
Ac 0.500 0.500 0.500
Cd 0.500 0.000 0.000
Al 0.000 0.500 0.000

***

Respective V values: 26.6; 26.1 Å³/atom.